Computed, not measured: a relaxed structure of TbBeHg at the PBE level of DFT.

a = 6.597 Å, b = 6.597 Å, c = 6.597 Å
α = 90.00°, β = 90.00°, γ = 90.00°
Fractional coordinates of all 12 atoms:
1 Tb 0.000 0.000 0.000
2 Tb 0.000 0.500 0.500
3 Tb 0.500 0.000 0.500
4 Tb 0.500 0.500 0.000
5 Be 0.000 0.000 0.500
6 Be 0.000 0.500 0.000
7 Be 0.500 0.000 0.000
8 Be 0.500 0.500 0.500
9 Hg 0.250 0.250 0.750
10 Hg 0.250 0.750 0.250
11 Hg 0.750 0.250 0.250
12 Hg 0.750 0.750 0.750

Calculated values
The calculation puts the total energy at -2.694 eV/atom.



Computed, not measured: a relaxed structure of LuCoSnPd at the PBE level of DFT.

a = 6.549 Å, b = 6.549 Å, c = 6.549 Å
α = 90.00°, β = 90.00°, γ = 90.00°
Fractional coordinates of all 16 atoms:
1 Lu 0.000 0.000 0.000
2 Lu 0.000 0.500 0.500
3 Lu 0.500 0.000 0.500
4 Lu 0.500 0.500 0.000
5 Co 0.250 0.250 0.750
6 Co 0.250 0.750 0.250
7 Co 0.750 0.250 0.250
8 Co 0.750 0.750 0.750
9 Sn 0.000 0.000 0.500
10 Sn 0.000 0.500 0.000
11 Sn 0.500 0.000 0.000
12 Sn 0.500 0.500 0.500
13 Pd 0.250 0.250 0.250
14 Pd 0.250 0.750 0.750
15 Pd 0.750 0.250 0.750
16 Pd 0.750 0.750 0.250

Calculated values
The calculation puts the total energy at -5.749 eV/atom.



Computed, not measured: a relaxed structure of TmScPt at the PBE level of DFT.

a = 6.510 Å, b = 6.510 Å, c = 6.510 Å
α = 90.00°, β = 90.00°, γ = 90.00°
Fractional coordinates of all 12 atoms:
1 Tm 0.000 0.000 0.000
2 Tm 0.000 0.500 0.500
3 Tm 0.500 0.000 0.500
4 Tm 0.500 0.500 0.000
5 Sc 0.250 0.250 0.250
6 Sc 0.250 0.750 0.750
7 Sc 0.750 0.250 0.750
8 Sc 0.750 0.750 0.250
9 Pt 0.250 0.250 0.750
10 Pt 0.250 0.750 0.250
11 Pt 0.750 0.250 0.250
12 Pt 0.750 0.750 0.750

Calculated values
The calculation puts the total energy at -5.725 eV/atom. The formation energy comes out at -2.4 kcal/mol of atoms.



Computed, not measured: a relaxed structure of Pu2Nb at the PBE level of DFT.

a = 8.147 Å, b = 8.147 Å, c = 8.147 Å
α = 60.00°, β = 60.00°, γ = 60.00°
Fractional coordinates of all 6 atoms:
1 Pu 0.000 0.000 0.000
2 Pu 0.000 0.000 0.500
3 Pu 0.000 0.500 0.000
4 Pu 0.500 0.000 0.000
5 Nb 0.125 0.125 0.125
6 Nb 0.875 0.875 0.875

Calculated values
The calculation puts the total energy at -10.821 eV/atom. The formation energy comes out at 45.2 kcal/mol of atoms.



Computed, not measured: a relaxed structure of Ta2CoSi2 at the PBE level of DFT.

a = 3.931 Å, b = 3.931 Å, c = 11.187 Å
α = 90.00°, β = 90.00°, γ = 90.00°
Fractional coordinates of all 10 atoms:
1 Ta 0.000 0.500 0.250
2 Ta 0.000 0.500 0.750
3 Ta 0.500 0.000 0.250
4 Ta 0.500 0.000 0.750
5 Co 0.000 0.000 0.000
6 Co 0.500 0.500 0.500
7 Si 0.000 0.000 0.402
8 Si 0.000 0.000 0.598
9 Si 0.500 0.500 0.098
10 Si 0.500 0.500 0.902

Calculated values
The calculation puts the total energy at -7.947 eV/atom.



Computed, not measured: a relaxed structure of ThSe2 at the PBE level of DFT.

a = 6.996 Å, b = 6.996 Å, c = 6.996 Å
α = 90.00°, β = 90.00°, γ = 90.00°
Fractional coordinates of all 12 atoms:
1 Th 0.000 0.000 0.000
2 Th 0.000 0.500 0.500
3 Th 0.500 0.000 0.500
4 Th 0.500 0.500 0.000
5 Se 0.250 0.250 0.250
6 Se 0.250 0.250 0.750
7 Se 0.250 0.750 0.250
8 Se 0.250 0.750 0.750
9 Se 0.750 0.250 0.250
10 Se 0.750 0.250 0.750
11 Se 0.750 0.750 0.250
12 Se 0.750 0.750 0.750

Calculated values
The calculation puts the total energy at -6.536 eV/atom.



Computed, not measured: a relaxed structure of PrZn2As2 at the PBE level of DFT.

a = 4.684 Å, b = 4.684 Å, c = 9.213 Å
α = 90.00°, β = 90.00°, γ = 90.00°
Fractional coordinates of all 10 atoms:
1 Pr 0.000 0.000 0.000
2 Pr 0.500 0.500 0.500
3 Zn 0.000 0.000 0.369
4 Zn 0.000 0.000 0.631
5 Zn 0.500 0.500 0.131
6 Zn 0.500 0.500 0.869
7 As 0.000 0.500 0.250
8 As 0.000 0.500 0.750
9 As 0.500 0.000 0.250
10 As 0.500 0.000 0.750

Calculated values
The calculation puts the total energy at -3.801 eV/atom.



Computed, not measured: a relaxed structure of Tb4SiBr6 at the PBE level of DFT.

a = 13.249 Å, b = 14.029 Å, c = 4.066 Å
α = 90.00°, β = 90.00°, γ = 90.00°
Fractional coordinates of all 22 atoms:
1 Tb 0.119 0.079 0.000
2 Tb 0.119 0.841 0.500
3 Tb 0.381 0.341 0.500
4 Tb 0.381 0.579 0.000
5 Tb 0.619 0.421 0.000
6 Tb 0.619 0.659 0.500
7 Tb 0.881 0.159 0.500
8 Tb 0.881 0.921 0.000
9 Si 0.000 0.000 0.500
10 Si 0.500 0.500 0.500
11 Br 0.001 0.742 0.000
12 Br 0.243 0.662 0.500
13 Br 0.244 0.411 0.000
14 Br 0.256 0.911 0.000
15 Br 0.257 0.162 0.500
16 Br 0.499 0.242 0.000
17 Br 0.501 0.758 0.000
18 Br 0.743 0.838 0.500
19 Br 0.744 0.089 0.000
20 Br 0.756 0.589 0.000
21 Br 0.757 0.338 0.500
22 Br 0.999 0.258 0.000

Calculated values
The calculation puts the total energy at -4.685 eV/atom.



Computed, not measured: a relaxed structure of Dy2ErCu4Si2Ge2 at the PBE level of DFT.

a = 7.915 Å, b = 7.915 Å, c = 7.915 Å
α = 149.27°, β = 131.00°, γ = 58.96°
Fractional coordinates of all 11 atoms:
1 Dy 0.129 0.129 0.000
2 Dy 0.871 0.871 0.000
3 Er 0.500 0.000 0.500
4 Cu 0.145 0.336 0.809
5 Cu 0.473 0.664 0.809
6 Cu 0.527 0.336 0.191
7 Cu 0.855 0.664 0.191
8 Si 0.185 0.500 0.685
9 Si 0.815 0.500 0.315
10 Ge 0.284 0.784 0.500
11 Ge 0.716 0.216 0.500

Calculated values
The calculation puts the total energy at -5.061 eV/atom.



Computed, not measured: a relaxed structure of SrHfNi at the PBE level of DFT.

a = 6.722 Å, b = 6.722 Å, c = 6.722 Å
α = 90.00°, β = 90.00°, γ = 90.00°
Fractional coordinates of all 12 atoms:
1 Sr 0.000 0.000 0.000
2 Sr 0.000 0.500 0.500
3 Sr 0.500 0.000 0.500
4 Sr 0.500 0.500 0.000
5 Hf 0.000 0.000 0.500
6 Hf 0.000 0.500 0.000
7 Hf 0.500 0.000 0.000
8 Hf 0.500 0.500 0.500
9 Ni 0.250 0.250 0.750
10 Ni 0.250 0.750 0.250
11 Ni 0.750 0.250 0.250
12 Ni 0.750 0.750 0.750

Calculated values
The calculation puts the total energy at -5.218 eV/atom.



Computed, not measured: a relaxed structure of ScNi3H at the PBE level of DFT.

a = 5.318 Å, b = 5.318 Å, c = 4.354 Å
α = 90.00°, β = 90.00°, γ = 120.00°
Fractional coordinates of all 10 atoms:
1 Sc 0.333 0.667 0.250
2 Sc 0.667 0.333 0.750
3 Ni 0.152 0.304 0.750
4 Ni 0.152 0.848 0.750
5 Ni 0.304 0.152 0.250
6 Ni 0.696 0.848 0.750
7 Ni 0.848 0.152 0.250
8 Ni 0.848 0.696 0.250
9 H 0.333 0.667 0.750
10 H 0.667 0.333 0.250

Calculated values
The calculation puts the total energy at -5.700 eV/atom.



Computed, not measured: a relaxed structure of TlZnTeF at the PBE level of DFT.

a = 6.023 Å, b = 7.900 Å, c = 8.769 Å
α = 90.00°, β = 90.00°, γ = 90.00°
Fractional coordinates of all 16 atoms:
1 Tl 0.128 0.154 0.047
2 Tl 0.372 0.846 0.547
3 Tl 0.628 0.346 0.953
4 Tl 0.872 0.654 0.453
5 Zn 0.010 0.726 0.874
6 Zn 0.490 0.274 0.374
7 Zn 0.510 0.774 0.126
8 Zn 0.990 0.226 0.626
9 Te 0.211 0.477 0.745
10 Te 0.289 0.523 0.245
11 Te 0.711 0.023 0.255
12 Te 0.789 0.977 0.755
13 F 0.228 0.159 0.477
14 F 0.272 0.841 0.977
15 F 0.728 0.341 0.523
16 F 0.772 0.659 0.023

Calculated values
The calculation puts the total energy at -3.197 eV/atom.



Computed, not measured: a relaxed structure of LuScAgAu at the PBE level of DFT.

a = 6.953 Å, b = 6.953 Å, c = 6.953 Å
α = 90.00°, β = 90.00°, γ = 90.00°
Fractional coordinates of all 16 atoms:
1 Lu 0.000 0.000 0.000
2 Lu 0.000 0.500 0.500
3 Lu 0.500 0.000 0.500
4 Lu 0.500 0.500 0.000
5 Sc 0.000 0.000 0.500
6 Sc 0.000 0.500 0.000
7 Sc 0.500 0.000 0.000
8 Sc 0.500 0.500 0.500
9 Ag 0.250 0.250 0.750
10 Ag 0.250 0.750 0.250
11 Ag 0.750 0.250 0.250
12 Ag 0.750 0.750 0.750
13 Au 0.250 0.250 0.250
14 Au 0.250 0.750 0.750
15 Au 0.750 0.250 0.750
16 Au 0.750 0.750 0.250

Calculated values
The calculation puts the total energy at -4.826 eV/atom. The formation energy comes out at -13.6 kcal/mol of atoms.



Computed, not measured: a relaxed structure of HoGeTe3Pb at the PBE level of DFT.

a = 7.809 Å, b = 7.809 Å, c = 11.217 Å
α = 90.00°, β = 90.00°, γ = 147.54°
Fractional coordinates of all 12 atoms:
1 Ho 0.000 0.000 0.000
2 Ho 0.000 0.000 0.500
3 Ge 0.464 0.536 0.750
4 Ge 0.536 0.464 0.250
5 Te 0.098 0.902 0.750
6 Te 0.354 0.646 0.536
7 Te 0.354 0.646 0.964
8 Te 0.646 0.354 0.036
9 Te 0.646 0.354 0.464
10 Te 0.902 0.098 0.250
11 Pb 0.232 0.768 0.250
12 Pb 0.768 0.232 0.750

Calculated values
The calculation puts the total energy at -4.228 eV/atom.



Computed, not measured: a relaxed structure of CdFe2Sn at the PBE level of DFT.

a = 6.403 Å, b = 6.403 Å, c = 6.403 Å
α = 90.00°, β = 90.00°, γ = 90.00°
Fractional coordinates of all 16 atoms:
1 Cd 0.000 0.000 0.000
2 Cd 0.000 0.500 0.500
3 Cd 0.500 0.000 0.500
4 Cd 0.500 0.500 0.000
5 Fe 0.000 0.000 0.500
6 Fe 0.000 0.500 0.000
7 Fe 0.250 0.250 0.250
8 Fe 0.250 0.750 0.750
9 Fe 0.500 0.000 0.000
10 Fe 0.500 0.500 0.500
11 Fe 0.750 0.250 0.750
12 Fe 0.750 0.750 0.250
13 Sn 0.250 0.250 0.750
14 Sn 0.250 0.750 0.250
15 Sn 0.750 0.250 0.250
16 Sn 0.750 0.750 0.750

Calculated values
The calculation puts the total energy at -4.959 eV/atom.



Computed, not measured: a relaxed structure of GdMgTeO at the PBE level of DFT.

a = 13.556 Å, b = 13.556 Å, c = 13.556 Å
α = 17.50°, β = 17.50°, γ = 17.50°
Fractional coordinates of all 8 atoms:
1 Gd 0.249 0.249 0.249
2 Gd 0.751 0.751 0.751
3 Mg 0.143 0.143 0.143
4 Mg 0.857 0.857 0.857
5 Te 0.374 0.374 0.374
6 Te 0.626 0.626 0.626
7 O 0.192 0.192 0.192
8 O 0.808 0.808 0.808

Calculated values
The calculation puts the total energy at -5.090 eV/atom.



Computed, not measured: a relaxed structure of Gd2ErIn3Ir2Au at the PBE level of DFT.

a = 3.917 Å, b = 7.643 Å, c = 7.643 Å
α = 119.56°, β = 90.00°, γ = 90.00°
Fractional coordinates of all 9 atoms:
1 Gd 0.000 0.205 0.795
2 Gd 0.000 0.795 0.205
3 Er 0.000 0.387 0.387
4 In 0.500 0.064 0.064
5 In 0.500 0.528 0.795
6 In 0.500 0.795 0.528
7 Ir 0.500 0.133 0.462
8 Ir 0.500 0.462 0.133
9 Au 0.000 0.795 0.795

Calculated values
The calculation puts the total energy at -5.486 eV/atom.



Computed, not measured: a relaxed structure of Ta2NbCo9 at the PBE level of DFT.

a = 6.894 Å, b = 6.894 Å, c = 6.894 Å
α = 43.82°, β = 43.82°, γ = 43.82°
Fractional coordinates of all 12 atoms:
1 Ta 0.218 0.218 0.218
2 Ta 0.782 0.782 0.782
3 Nb 0.000 0.000 0.000
4 Co 0.000 0.500 0.500
5 Co 0.243 0.714 0.714
6 Co 0.286 0.286 0.757
7 Co 0.286 0.757 0.286
8 Co 0.500 0.000 0.500
9 Co 0.500 0.500 0.000
10 Co 0.714 0.243 0.714
11 Co 0.714 0.714 0.243
12 Co 0.757 0.286 0.286

Calculated values
The calculation puts the total energy at -8.352 eV/atom. The formation energy comes out at -4.7 kcal/mol of atoms.



Computed, not measured: a relaxed structure of TaBr at the PBE level of DFT.

a = 5.821 Å, b = 5.821 Å, c = 5.821 Å
α = 90.00°, β = 90.00°, γ = 90.00°
Fractional coordinates of all 8 atoms:
1 Ta 0.000 0.000 0.000
2 Ta 0.000 0.500 0.500
3 Ta 0.500 0.000 0.500
4 Ta 0.500 0.500 0.000
5 Br 0.250 0.250 0.250
6 Br 0.250 0.750 0.750
7 Br 0.750 0.250 0.750
8 Br 0.750 0.750 0.250

Calculated values
The calculation puts the total energy at -5.267 eV/atom.



Computed, not measured: a relaxed structure of Lu4Sb2CN at the PBE level of DFT.

a = 3.536 Å, b = 3.536 Å, c = 14.557 Å
α = 90.00°, β = 90.00°, γ = 120.00°
Fractional coordinates of all 8 atoms:
1 Lu 0.333 0.667 0.088
2 Lu 0.333 0.667 0.414
3 Lu 0.667 0.333 0.586
4 Lu 0.667 0.333 0.912
5 Sb 0.333 0.667 0.747
6 Sb 0.667 0.333 0.253
7 C 0.000 0.000 0.000
8 N 0.000 0.000 0.500

Calculated values
The calculation puts the total energy at -6.444 eV/atom.



Computed, not measured: a relaxed structure of Hg2BrCl at the PBE level of DFT.

a = 4.763 Å, b = 4.763 Å, c = 11.186 Å
α = 90.00°, β = 90.00°, γ = 90.00°
Fractional coordinates of all 8 atoms:
1 Hg 0.000 0.000 0.000
2 Hg 0.000 0.000 0.234
3 Hg 0.500 0.500 0.500
4 Hg 0.500 0.500 0.734
5 Br 0.000 0.000 0.465
6 Br 0.500 0.500 0.965
7 Cl 0.000 0.000 0.780
8 Cl 0.500 0.500 0.280

Calculated values
The calculation puts the total energy at -1.502 eV/atom.



Computed, not measured: a relaxed structure of SrAsPdAu at the PBE level of DFT.

a = 6.979 Å, b = 6.979 Å, c = 6.979 Å
α = 90.00°, β = 90.00°, γ = 90.00°
Fractional coordinates of all 16 atoms:
1 Sr 0.000 0.000 0.000
2 Sr 0.000 0.500 0.500
3 Sr 0.500 0.000 0.500
4 Sr 0.500 0.500 0.000
5 As 0.250 0.250 0.250
6 As 0.250 0.750 0.750
7 As 0.750 0.250 0.750
8 As 0.750 0.750 0.250
9 Pd 0.250 0.250 0.750
10 Pd 0.250 0.750 0.250
11 Pd 0.750 0.250 0.250
12 Pd 0.750 0.750 0.750
13 Au 0.000 0.000 0.500
14 Au 0.000 0.500 0.000
15 Au 0.500 0.000 0.000
16 Au 0.500 0.500 0.500

Calculated values
The calculation puts the total energy at -4.023 eV/atom.



Computed, not measured: a relaxed structure of Ho5Ga2Bi at the PBE level of DFT.

a = 8.620 Å, b = 8.620 Å, c = 8.620 Å
α = 123.67°, β = 123.67°, γ = 83.75°
Fractional coordinates of all 16 atoms:
1 Ho 0.000 0.000 0.000
2 Ho 0.011 0.511 0.804
3 Ho 0.207 0.011 0.500
4 Ho 0.293 0.793 0.804
5 Ho 0.489 0.293 0.500
6 Ho 0.500 0.500 0.000
7 Ho 0.511 0.707 0.500
8 Ho 0.707 0.207 0.196
9 Ho 0.793 0.989 0.500
10 Ho 0.989 0.489 0.196
11 Ga 0.149 0.351 0.500
12 Ga 0.351 0.851 0.201
13 Ga 0.649 0.149 0.799
14 Ga 0.851 0.649 0.500
15 Bi 0.250 0.250 0.000
16 Bi 0.750 0.750 0.000

Calculated values
The calculation puts the total energy at -4.703 eV/atom.



Computed, not measured: a relaxed structure of PrAgPbSe2S at the PBE level of DFT.

a = 7.178 Å, b = 7.178 Å, c = 10.760 Å
α = 90.00°, β = 90.00°, γ = 145.77°
Fractional coordinates of all 12 atoms:
1 Pr 0.000 0.000 0.000
2 Pr 0.000 0.000 0.500
3 Ag 0.474 0.526 0.750
4 Ag 0.526 0.474 0.250
5 Pb 0.253 0.747 0.250
6 Pb 0.747 0.253 0.750
7 Se 0.351 0.649 0.561
8 Se 0.351 0.649 0.939
9 Se 0.649 0.351 0.061
10 Se 0.649 0.351 0.439
11 S 0.085 0.915 0.750
12 S 0.915 0.085 0.250

Calculated values
The calculation puts the total energy at -4.716 eV/atom.



Computed, not measured: a relaxed structure of HfNiBOs at the PBE level of DFT.

a = 5.902 Å, b = 5.902 Å, c = 5.902 Å
α = 90.00°, β = 90.00°, γ = 90.00°
Fractional coordinates of all 16 atoms:
1 Hf 0.000 0.000 0.000
2 Hf 0.000 0.500 0.500
3 Hf 0.500 0.000 0.500
4 Hf 0.500 0.500 0.000
5 Ni 0.250 0.250 0.250
6 Ni 0.250 0.750 0.750
7 Ni 0.750 0.250 0.750
8 Ni 0.750 0.750 0.250
9 B 0.250 0.250 0.750
10 B 0.250 0.750 0.250
11 B 0.750 0.250 0.250
12 B 0.750 0.750 0.750
13 Os 0.000 0.000 0.500
14 Os 0.000 0.500 0.000
15 Os 0.500 0.000 0.000
16 Os 0.500 0.500 0.500

Calculated values
The calculation puts the total energy at -8.326 eV/atom.